Entry from Alexandria via LeMat-Bulk: crystalline Sr2CuAu at its relaxed geometry (GGA-PBE).

E ... -24.0 eV/cell
Fermi-level density of states ... 2.0 states/eV/f.u.

Cell: 4.252 4.410 14.675 Å, 90.00 90.00 90.00°
Space group Imm2 (No. 44)
Unique sites:
1 Sr 0.000 0.000 0.000
2 Sr 0.000 0.500 0.241
3 Cu 0.000 0.000 0.571
4 Au 0.000 0.500 0.667

Entry from Alexandria via LeMat-Bulk: crystalline SrCuAu2 at its relaxed geometry (GGA-PBE).

E ... -13.9 eV/cell
Fermi-level density of states ... 1.3 states/eV/f.u.
Energy relative to the lowest polymorph listed for this composition ... 74.0 meV/atom

Cell: 4.068 4.448 5.467 Å, 90.00 90.00 90.00°
Space group Pmmm (No. 47)
Unique sites:
1 Sr 0.000 0.000 0.000
2 Cu 0.500 0.000 0.500
3 Au 0.500 0.500 0.250

Entry from Alexandria via LeMat-Bulk: crystalline SrCu2Au9 at its relaxed geometry (GGA-PBE).

E ... -168.2 eV/cell
Fermi-level density of states ... 4.1 states/eV/f.u.

Cell: 11.279 11.279 7.252 Å, 90.00 90.00 90.00°
Space group I4_1/amd (No. 141, origin choice 2)
Unique sites:
1 Sr 0.000 0.250 0.375
2 Cu 0.000 0.000 0.000
3 Au 0.000 0.250 0.875
4 Au 0.121 0.050 0.685

Entry from Alexandria via LeMat-Bulk: crystalline SrCu2Au2 at its relaxed geometry (GGA-PBE).

E ... -34.0 eV/cell
Fermi-level density of states ... 1.5 states/eV/f.u.
Energy relative to the lowest polymorph listed for this composition ... 193.3 meV/atom

Cell: 7.835 7.835 3.086 Å, 90.00 90.00 90.00°
Space group P4/mbm (No. 127)
Unique sites:
1 Sr 0.000 0.000 0.000
2 Cu 0.162 0.338 0.500
3 Au 0.132 0.632 0.000

Entry from Alexandria via LeMat-Bulk: crystalline SrCu4Au12 at its relaxed geometry (GGA-PBE).

E ... -110.8 eV/cell
Fermi-level density of states ... 6.6 states/eV/f.u.

Cell: 8.852 8.852 8.852 Å, 90.00 90.00 90.00°
Space group Im-3 (No. 204)
Unique sites:
1 Sr 0.000 0.000 0.000
2 Cu 0.250 0.250 0.250
3 Au 0.000 0.345 0.160

Entry from Alexandria via LeMat-Bulk: crystalline Sr2CuAu at its relaxed geometry (GGA-PBE).

E ... -12.1 eV/cell
Fermi-level density of states ... 3.2 states/eV/f.u.

Cell: 3.841 3.822 7.601 Å, 90.00 90.07 90.00°
Space group P2/m (No. 10)
Unique sites:
1 Sr 0.000 0.000 0.250
2 Cu 0.500 0.500 0.000
3 Au 0.500 0.500 0.500

Entry from Alexandria via LeMat-Bulk: crystalline SrCu2Au2 at its relaxed geometry (GGA-PBE).

E ... -34.9 eV/cell
Fermi-level density of states ... 2.0 states/eV/f.u.
Energy relative to the lowest polymorph listed for this composition ... 104.1 meV/atom

Cell: 7.569 7.569 3.285 Å, 90.00 90.00 90.00°
Space group P4/mbm (No. 127)
Unique sites:
1 Sr 0.000 0.000 0.000
2 Cu 0.117 0.383 0.000
3 Au 0.173 0.673 0.500

Entry from Alexandria via LeMat-Bulk: crystalline SrCuAu2 at its relaxed geometry (GGA-PBE).

E ... -13.3 eV/cell
Fermi-level density of states ... 0.9 states/eV/f.u.
Energy relative to the lowest polymorph listed for this composition ... 215.2 meV/atom

Cell: 3.649 3.649 6.637 Å, 90.00 90.00 90.00°
Space group P4mm (No. 99)
Unique sites:
1 Sr 0.000 0.000 0.000
2 Cu 0.500 0.500 0.661
3 Au 0.000 0.000 0.536
4 Au 0.500 0.500 0.271